# Zn2HgBi2

Crystalline Zn2HgBi2 at its relaxed geometry (PBEsol, Alexandria via LeMat-Bulk).

Computed properties:
Calculated total energy   -2.3810 eV per atom
ΔH_f (0 K)   0.0793 eV/atom
N(E_F)   1.5 states/eV/f.u.

Cell lengths 3.819, 3.819, 16.798 Å; angles 90.00, 90.00, 90.00 degrees
Space group I4/mmm (No. 139)
Unique sites:
Zn: 0.000 0.500 0.250 [4 per cell]
Hg: 0.000 0.000 0.000 [2 per cell]
Bi: 0.000 0.000 0.376 [4 per cell]